Compound: Gd2HoCd
Source: the Alexandria database
Functional: GGA-PBE
Structure: optimized geometry

As for the crystal system: tetragonal. For the energy of formation from the pure elements, the calculation gives -74 meV per atom. The calculation puts the magnetization at 15.0 μB/cell. Its density of states at the Fermi level is 5.76 states/eV/cell. The energy above the most stable polymorph in this dataset comes out at 6.7 kJ per mole of atoms.

The space group is P4/mmm (No. 123) and the conventional cell measures 5.521, 5.521 and 3.806 Å, with angles of 90.00, 90.00 and 90.00 degrees. The asymmetric unit holds Gd at (0.000, 0.500, 0.000), Ho at (0.000, 0.000, 0.500) and Cd at (0.500, 0.500, 0.500).